[1]
A plane-wave DFT calculation with PBE-GGA was carried out for a relaxed BaScTl2 crystal.

Cell: 4.1952 4.1952 7.6642 Å, 90.00 90.00 90.00°
Last column: nearest neighbours and their distance in Å.
Atoms (fractional coordinates):
Ba1 0.0000 0.0000 0.4904  5 Tl 3.54-3.62
Sc1 0.5000 0.5000 0.8379  5 Tl 2.92-3.09
Tl1 0.0000 0.0000 0.9526  4 Sc 3.09
Tl2 0.5000 0.5000 0.2191  1 Sc 2.92

Summary:
Total energy in eV per atom: -3.28
Symmetry: P4mm (99)
Formation energy from the elements in meV/atom: -38



[2]
A plane-wave DFT calculation with PBE-GGA was carried out for a relaxed MgTl8Pb6 crystal.

Cell: 3.5167 12.6272 12.6272 Å, 120.00 90.00 90.00°
Last column: nearest neighbours and their distance in Å.
Atoms (fractional coordinates):
Mg1 0.5000 0.0000 0.0000  6 Tl 3.24, 2 Mg 3.52
Tl1 0.7641 0.9229 0.1984  1 Mg 3.24, 3 Pb 3.32-3.46, 6 Tl 3.52-3.62
Tl2 0.7641 0.8016 0.7245  1 Mg 3.24, 3 Pb 3.32-3.46, 6 Tl 3.52-3.62
Tl3 0.7641 0.2755 0.0771  1 Mg 3.24, 3 Pb 3.32-3.46, 6 Tl 3.52-3.62
Tl4 0.2359 0.0771 0.8016  1 Mg 3.24, 3 Pb 3.32-3.46, 6 Tl 3.52-3.62
Tl5 0.2359 0.1984 0.2755  1 Mg 3.24, 3 Pb 3.32-3.46, 6 Tl 3.52-3.62
Tl6 0.2359 0.7245 0.9229  1 Mg 3.24, 3 Pb 3.32-3.46, 6 Tl 3.52-3.62
Tl7 0.7514 0.3333 0.6667  6 Pb 3.35, 2 Tl 3.52
Tl8 0.2486 0.6667 0.3333  6 Pb 3.35, 2 Tl 3.52
Pb1 0.7497 0.6228 0.0885  4 Pb 3.28-3.52, 5 Tl 3.32-3.46
Pb2 0.7497 0.9115 0.5343  4 Pb 3.28-3.52, 5 Tl 3.32-3.46
Pb3 0.7497 0.4657 0.3772  4 Pb 3.28-3.52, 5 Tl 3.32-3.46
Pb4 0.2503 0.3772 0.9115  4 Pb 3.28-3.52, 5 Tl 3.32-3.46
Pb5 0.2503 0.0885 0.4657  4 Pb 3.28-3.52, 5 Tl 3.32-3.46
Pb6 0.2503 0.5343 0.6228  4 Pb 3.28-3.52, 5 Tl 3.32-3.46

Summary:
Total energy in eV per atom: -2.78
Symmetry: P-3 (147)
Formation energy from the elements in meV/atom: 67